Below is crystalline ZrTlOs at its relaxed geometry, with properties calculated at the PBE-GGA level.

Results
Density of states at the Fermi level: 12.434 states/eV/cell
Relative energy among the computed polymorphs: 601.1 meV per atom
Total moment: 0.00 μB/cell
E_form: 725 meV/atom

Lattice parameters (Å, degrees): 6.534 6.534 6.534 90.00 90.00 90.00
Space group F-43m (No. 216)
Inequivalent atoms, fractional coordinates:
Zr  0.000  0.000  0.000 [4 per cell]
Tl  0.250  0.250  0.750 [4 per cell]
Os  0.250  0.250  0.250 [4 per cell]



Below is crystalline ZrTlOs2 at its relaxed geometry, with properties calculated at the PBE-GGA level.

Results
Density of states at the Fermi level: 17.923 states/eV/cell
Relative energy among the computed polymorphs: 600.9 meV per atom
Total moment: 0.00 μB/cell
E_form: 821 meV/atom

Lattice parameters (Å, degrees): 4.187 4.187 18.856 90.00 90.00 90.00
Space group I-42d (No. 122)
Inequivalent atoms, fractional coordinates:
Zr  0.000  0.000  0.000 [4 per cell]
Tl  0.000  0.000  0.500 [4 per cell]
Os  0.171  0.250  0.125 [8 per cell]



Below is crystalline ZrTlOs2 at its relaxed geometry, with properties calculated at the PBE-GGA level.

Results
Density of states at the Fermi level: 4.880 states/eV/cell
Relative energy among the computed polymorphs: 72.7 meV per atom
Total moment: 0.00 μB/cell
E_form: 293 meV/atom

Lattice parameters (Å, degrees): 4.319 4.319 3.778 90.00 90.00 90.00
Space group P4/mmm (No. 123)
Inequivalent atoms, fractional coordinates:
Zr  0.000  0.000  0.000 [1 per cell]
Tl  0.500  0.500  0.000 [1 per cell]
Os  0.000  0.500  0.500 [2 per cell]